Version w
{
  "formula": "CsCaN2",
  "functional": "PBE",
  "state": "optimized geometry",
  "lattice_angstrom": [[1.913, 1.104, 6.888], [-1.913, 1.104, 6.888], [0.000, -2.209, 6.888]],
  "species": ["Cs", "Ca", "N", "N"],
  "frac_coords": [[0.000, 0.000, 0.000], [0.500, 0.500, 0.500], [0.109, 0.109, 0.109], [0.891, 0.891, 0.891]]
}

Version x
{
  "formula": "CsCaN2",
  "functional": "PBE",
  "state": "optimized geometry",
  "lattice_angstrom": [[-2.531, 2.531, 7.710], [2.531, -2.531, 7.710], [2.531, 2.531, -7.710]],
  "species": ["Cs", "Cs", "Ca", "Ca", "N", "N", "N", "N"],
  "frac_coords": [[0.375, 0.625, 0.750], [0.625, 0.375, 0.250], [0.125, 0.875, 0.250], [0.875, 0.125, 0.750], [0.000, 0.000, 0.000], [0.000, 0.000, 0.500], [0.000, 0.500, 0.000], [0.500, 0.000, 0.500]]
}

version x comes first in stability; the runner-up is 1.8 kJ/mol of atoms higher.

Version w
{
  "formula": "CsCaSe2N",
  "functional": "PBE",
  "state": "optimized geometry",
  "lattice_angstrom": [[5.770, 0.000, 0.000], [0.000, 5.770, 0.000], [0.000, 0.000, 4.988]],
  "species": ["Cs", "Ca", "Se", "Se", "N"],
  "frac_coords": [[0.000, 0.000, 0.000], [0.500, 0.500, 0.500], [0.000, 0.500, 0.500], [0.500, 0.000, 0.500], [0.500, 0.500, 0.000]]
}

Version x
{
  "formula": "CsCaSe2N",
  "functional": "PBE",
  "state": "optimized geometry",
  "lattice_angstrom": [[5.928, 0.000, 0.000], [0.000, 5.928, 0.000], [0.000, 0.000, 4.491]],
  "species": ["Cs", "Ca", "Se", "Se", "N"],
  "frac_coords": [[0.000, 0.000, 0.000], [0.500, 0.500, 0.500], [0.000, 0.500, 0.000], [0.500, 0.000, 0.000], [0.000, 0.000, 0.500]]
}

version w comes first in stability; the runner-up is 83.8 kJ/mol of atoms higher.

Version w
{
  "formula": "CsNa3Ca",
  "functional": "PBE",
  "state": "optimized geometry",
  "lattice_angstrom": [[6.865, 0.000, 0.000], [0.000, 6.865, 0.000], [0.000, 0.000, 6.865]],
  "species": ["Cs", "Na", "Na", "Na", "Ca"],
  "frac_coords": [[0.000, 0.000, 0.000], [0.000, 0.500, 0.500], [0.500, 0.000, 0.500], [0.500, 0.500, 0.000], [0.500, 0.500, 0.500]]
}

Version x
{
  "formula": "CsNa3Ca",
  "functional": "PBE",
  "state": "optimized geometry",
  "lattice_angstrom": [[6.559, 0.000, 0.000], [0.000, 6.559, 0.000], [0.000, 0.000, 6.559]],
  "species": ["Cs", "Na", "Na", "Na", "Ca"],
  "frac_coords": [[0.000, 0.000, 0.000], [0.000, 0.000, 0.500], [0.000, 0.500, 0.000], [0.500, 0.000, 0.000], [0.500, 0.500, 0.500]]
}

version w comes first in stability; the runner-up is 26.2 kJ/mol of atoms higher.

Version w
{
  "formula": "Cs2NaCa2",
  "functional": "PBE",
  "state": "optimized geometry",
  "lattice_angstrom": [[-2.570, 2.570, 13.208], [2.570, -2.570, 13.208], [2.570, 2.570, -13.208]],
  "species": ["Cs", "Cs", "Na", "Ca", "Ca"],
  "frac_coords": [[0.101, 0.101, 0.000], [0.899, 0.899, 0.000], [0.500, 0.500, 0.000], [0.250, 0.750, 0.500], [0.750, 0.250, 0.500]]
}

Version x
{
  "formula": "Cs2NaCa2",
  "functional": "PBE",
  "state": "optimized geometry",
  "lattice_angstrom": [[12.828, 0.000, 0.000], [0.000, 12.828, 0.000], [0.000, 0.000, 4.213]],
  "species": ["Cs", "Cs", "Cs", "Cs", "Na", "Na", "Ca", "Ca", "Ca", "Ca"],
  "frac_coords": [[0.188, 0.312, 0.000], [0.312, 0.812, 0.000], [0.688, 0.188, 0.000], [0.812, 0.688, 0.000], [0.000, 0.000, 0.000], [0.500, 0.500, 0.000], [0.103, 0.603, 0.500], [0.397, 0.103, 0.500], [0.603, 0.897, 0.500], [0.897, 0.397, 0.500]]
}

Version y
{
  "formula": "Cs2NaCa2",
  "functional": "PBE",
  "state": "optimized geometry",
  "lattice_angstrom": [[12.514, 0.000, 0.000], [0.000, 12.514, 0.000], [0.000, 0.000, 4.392]],
  "species": ["Cs", "Cs", "Cs", "Cs", "Na", "Na", "Ca", "Ca", "Ca", "Ca"],
  "frac_coords": [[0.186, 0.314, 0.000], [0.314, 0.814, 0.000], [0.686, 0.186, 0.000], [0.814, 0.686, 0.000], [0.000, 0.000, 0.500], [0.500, 0.500, 0.500], [0.106, 0.606, 0.500], [0.394, 0.106, 0.500], [0.606, 0.894, 0.500], [0.894, 0.394, 0.500]]
}

version w comes first in stability; the runner-up is 8.2 kJ/mol of atoms higher.

Version w
{
  "formula": "CsNaCa",
  "functional": "PBE",
  "state": "optimized geometry",
  "lattice_angstrom": [[20.854, 0.000, 0.000], [0.000, 2.137, 3.677], [0.000, -2.137, 3.677]],
  "species": ["Cs", "Cs", "Na", "Na", "Ca", "Ca"],
  "frac_coords": [[0.175, 0.000, 0.000], [0.825, 0.000, 0.000], [0.000, 0.664, 0.664], [0.500, 0.997, 0.997], [0.359, 0.662, 0.662], [0.641, 0.662, 0.662]]
}

Version x
{
  "formula": "CsNaCa",
  "functional": "PBE",
  "state": "optimized geometry",
  "lattice_angstrom": [[-2.196, 2.196, 8.735], [2.196, -2.196, 8.735], [2.196, 2.196, -8.735]],
  "species": ["Cs", "Na", "Ca"],
  "frac_coords": [[0.000, 0.000, 0.000], [0.679, 0.679, 0.000], [0.299, 0.299, 0.000]]
}

version x comes first in stability; the runner-up is 2.5 kJ/mol of atoms higher.

Version w
{
  "formula": "Cs2Na2Ca",
  "functional": "PBE",
  "state": "optimized geometry",
  "lattice_angstrom": [[11.813, 0.000, 0.000], [0.000, 11.813, 0.000], [0.000, 0.000, 4.342]],
  "species": ["Cs", "Cs", "Cs", "Cs", "Na", "Na", "Na", "Na", "Ca", "Ca"],
  "frac_coords": [[0.137, 0.363, 0.000], [0.363, 0.863, 0.000], [0.637, 0.137, 0.000], [0.863, 0.637, 0.000], [0.167, 0.667, 0.500], [0.333, 0.167, 0.500], [0.667, 0.833, 0.500], [0.833, 0.333, 0.500], [0.000, 0.000, 0.000], [0.500, 0.500, 0.000]]
}

Version x
{
  "formula": "Cs2Na2Ca",
  "functional": "PBE",
  "state": "optimized geometry",
  "lattice_angstrom": [[10.060, 0.000, 0.000], [0.000, 10.060, 0.000], [0.000, 0.000, 6.334]],
  "species": ["Cs", "Cs", "Cs", "Cs", "Na", "Na", "Na", "Na", "Ca", "Ca"],
  "frac_coords": [[0.177, 0.323, 0.000], [0.323, 0.823, 0.000], [0.677, 0.177, 0.000], [0.823, 0.677, 0.000], [0.128, 0.628, 0.500], [0.372, 0.128, 0.500], [0.628, 0.872, 0.500], [0.872, 0.372, 0.500], [0.000, 0.000, 0.500], [0.500, 0.500, 0.500]]
}

version x comes first in stability; the runner-up is 7.3 kJ/mol of atoms higher.

Version w
{
  "formula": "CsCaNb3",
  "functional": "PBE",
  "state": "optimized geometry",
  "lattice_angstrom": [[5.123, 0.000, 0.000], [0.000, 5.123, 0.000], [0.000, 0.000, 5.123]],
  "species": ["Cs", "Ca", "Nb", "Nb", "Nb"],
  "frac_coords": [[0.000, 0.000, 0.000], [0.500, 0.500, 0.500], [0.000, 0.000, 0.500], [0.000, 0.500, 0.000], [0.500, 0.000, 0.000]]
}

Version x
{
  "formula": "CsCaNb3",
  "functional": "PBE",
  "state": "optimized geometry",
  "lattice_angstrom": [[5.209, 0.000, 0.000], [0.000, 5.209, 0.000], [0.000, 0.000, 5.209]],
  "species": ["Cs", "Ca", "Nb", "Nb", "Nb"],
  "frac_coords": [[0.000, 0.000, 0.000], [0.500, 0.500, 0.500], [0.000, 0.500, 0.500], [0.500, 0.000, 0.500], [0.500, 0.500, 0.000]]
}

version w comes first in stability; the runner-up is 32.0 kJ/mol of atoms higher.

Version w
{
  "formula": "CsCa3Nb",
  "functional": "PBE",
  "state": "optimized geometry",
  "lattice_angstrom": [[5.946, 0.000, 0.000], [0.000, 5.946, 0.000], [0.000, 0.000, 5.946]],
  "species": ["Cs", "Ca", "Ca", "Ca", "Nb"],
  "frac_coords": [[0.000, 0.000, 0.000], [0.000, 0.500, 0.500], [0.500, 0.000, 0.500], [0.500, 0.500, 0.000], [0.500, 0.500, 0.500]]
}

Version x
{
  "formula": "CsCa3Nb",
  "functional": "PBE",
  "state": "optimized geometry",
  "lattice_angstrom": [[5.672, 0.000, 0.000], [0.000, 5.672, 0.000], [0.000, 0.000, 5.672]],
  "species": ["Cs", "Ca", "Ca", "Ca", "Nb"],
  "frac_coords": [[0.000, 0.000, 0.000], [0.000, 0.000, 0.500], [0.000, 0.500, 0.000], [0.500, 0.000, 0.000], [0.500, 0.500, 0.500]]
}

version w comes first in stability; the runner-up is 96.4 kJ/mol of atoms higher.

Version w
{
  "formula": "CsCa3Ni",
  "functional": "PBE",
  "state": "optimized geometry",
  "lattice_angstrom": [[5.813, 0.000, 0.000], [0.000, 5.813, 0.000], [0.000, 0.000, 5.813]],
  "species": ["Cs", "Ca", "Ca", "Ca", "Ni"],
  "frac_coords": [[0.000, 0.000, 0.000], [0.000, 0.500, 0.500], [0.500, 0.000, 0.500], [0.500, 0.500, 0.000], [0.500, 0.500, 0.500]]
}

Version x
{
  "formula": "CsCa3Ni",
  "functional": "PBE",
  "state": "optimized geometry",
  "lattice_angstrom": [[5.765, 0.000, 0.000], [0.000, 5.765, 0.000], [0.000, 0.000, 5.765]],
  "species": ["Cs", "Ca", "Ca", "Ca", "Ni"],
  "frac_coords": [[0.000, 0.000, 0.000], [0.000, 0.000, 0.500], [0.000, 0.500, 0.000], [0.500, 0.000, 0.000], [0.500, 0.500, 0.500]]
}

version w comes first in stability; the runner-up is 144.0 kJ/mol of atoms higher.

Version w
{
  "formula": "CsCa2Ni",
  "functional": "PBE",
  "state": "optimized geometry",
  "lattice_angstrom": [[-4.217, 4.217, 6.006], [4.217, -4.217, 6.006], [4.217, 4.217, -6.006]],
  "species": ["Cs", "Cs", "Ca", "Ca", "Ca", "Ca", "Ni", "Ni"],
  "frac_coords": [[0.000, 0.000, 0.000], [0.750, 0.250, 0.500], [0.373, 0.625, 0.248], [0.375, 0.623, 0.748], [0.377, 0.125, 0.752], [0.875, 0.627, 0.252], [0.250, 0.750, 0.500], [0.500, 0.500, 0.000]]
}

Version x
{
  "formula": "CsCa2Ni",
  "functional": "PBE",
  "state": "optimized geometry",
  "lattice_angstrom": [[0.000, 4.016, 4.016], [4.016, 0.000, 4.016], [4.016, 4.016, 0.000]],
  "species": ["Cs", "Ca", "Ca", "Ni"],
  "frac_coords": [[0.000, 0.000, 0.000], [0.250, 0.250, 0.250], [0.750, 0.750, 0.750], [0.500, 0.500, 0.500]]
}

version w comes first in stability; the runner-up is 24.7 kJ/mol of atoms higher.

Version w
{
  "formula": "CsCaOs2",
  "functional": "PBE",
  "state": "optimized geometry",
  "lattice_angstrom": [[-2.286, 2.286, 10.491], [2.286, -2.286, 10.491], [2.286, 2.286, -10.491]],
  "species": ["Cs", "Cs", "Ca", "Ca", "Os", "Os", "Os", "Os"],
  "frac_coords": [[0.000, 0.000, 0.000], [0.750, 0.250, 0.500], [0.250, 0.750, 0.500], [0.500, 0.500, 0.000], [0.269, 0.625, 0.144], [0.375, 0.519, 0.644], [0.481, 0.125, 0.856], [0.875, 0.731, 0.356]]
}

Version x
{
  "formula": "CsCaOs2",
  "functional": "PBE",
  "state": "optimized geometry",
  "lattice_angstrom": [[0.000, 3.522, 3.522], [3.522, 0.000, 3.522], [3.522, 3.522, 0.000]],
  "species": ["Cs", "Ca", "Os", "Os"],
  "frac_coords": [[0.000, 0.000, 0.000], [0.500, 0.500, 0.500], [0.250, 0.250, 0.250], [0.750, 0.750, 0.750]]
}

version w comes first in stability; the runner-up is 64.8 kJ/mol of atoms higher.

Version w
{
  "formula": "Cs2CaP",
  "functional": "PBE",
  "state": "optimized geometry",
  "lattice_angstrom": [[0.000, 4.372, 4.372], [4.372, 0.000, 4.372], [4.372, 4.372, 0.000]],
  "species": ["Cs", "Cs", "Ca", "P"],
  "frac_coords": [[0.250, 0.250, 0.250], [0.750, 0.750, 0.750], [0.000, 0.000, 0.000], [0.500, 0.500, 0.500]]
}

Version x
{
  "formula": "Cs2CaP",
  "functional": "PBE",
  "state": "optimized geometry",
  "lattice_angstrom": [[-6.939, 6.939, 2.728], [6.939, -6.939, 2.728], [6.939, 6.939, -2.728]],
  "species": ["Cs", "Cs", "Cs", "Cs", "Ca", "Ca", "P", "P"],
  "frac_coords": [[0.375, 0.202, 0.327], [0.798, 0.125, 0.173], [0.875, 0.048, 0.673], [0.952, 0.625, 0.827], [0.250, 0.750, 0.500], [0.500, 0.500, 0.000], [0.000, 0.000, 0.000], [0.750, 0.250, 0.500]]
}

version x comes first in stability; the runner-up is 50.6 kJ/mol of atoms higher.